Entry 1:
First-principles (PBE-GGA) data for crystalline Ce4Th5Ag at its relaxed geometry, as listed in the Alexandria database.

DFT formation energy ... 0.02 eV/atom
E_tot ... -0.2334 Ha/atom
DOS(E_F) ... 16.89 states/eV per cell

a b c (Å): 3.492 3.492 23.889
angles (deg): 90.00 90.00 90.00
Positions (direct):
Ce 0.000 0.000 0.601
Ce 0.000 0.000 0.197
Ce 0.000 0.000 0.803
Ce 0.000 0.000 0.399
Th 0.500 0.500 0.910
Th 0.500 0.500 0.500
Th 0.500 0.500 0.297
Th 0.500 0.500 0.703
Th 0.500 0.500 0.090
Ag 0.000 0.000 0.000


Entry 2:
First-principles (PBE-GGA) data for crystalline Ce2ThAg at its relaxed geometry, as listed in the Alexandria database.

DFT formation energy ... 0.19 eV/atom
E_tot ... -0.1963 Ha/atom
DOS(E_F) ... 10.68 states/eV per cell

a b c (Å): 5.337 5.337 5.337
angles (deg): 60.00 60.00 60.00
Positions (direct):
Ag 0.500 0.500 0.500
Th 0.000 0.000 0.000
Ce 0.250 0.250 0.250
Ce 0.750 0.750 0.750


Entry 3:
First-principles (PBE-GGA) data for crystalline CeThAg2 at its relaxed geometry, as listed in the Alexandria database.

DFT formation energy ... -0.03 eV/atom
E_tot ... -0.1760 Ha/atom
DOS(E_F) ... 8.32 states/eV per cell

a b c (Å): 5.277 5.277 5.277
angles (deg): 60.00 60.00 60.00
Positions (direct):
Ag 0.750 0.750 0.750
Ag 0.250 0.250 0.250
Th 0.500 0.500 0.500
Ce 0.000 0.000 0.000


Entry 4:
First-principles (PBE-GGA) data for crystalline Ce2ThAg at its relaxed geometry, as listed in the Alexandria database.

DFT formation energy ... 0.10 eV/atom
E_tot ... -0.1996 Ha/atom
DOS(E_F) ... 9.34 states/eV per cell

a b c (Å): 3.399 3.399 11.090
angles (deg): 81.18 81.18 60.00
Positions (direct):
Ag 0.666 0.666 0.001
Ce 0.078 0.078 0.766
Ce 0.255 0.255 0.234
Th 0.500 0.500 0.499


Entry 5:
First-principles (PBE-GGA) data for crystalline CeThAg2 at its relaxed geometry, as listed in the Alexandria database.

DFT formation energy ... -0.04 eV/atom
E_tot ... -0.1764 Ha/atom
DOS(E_F) ... 8.83 states/eV per cell

a b c (Å): 3.360 3.360 8.924
angles (deg): 90.00 90.00 90.00
Positions (direct):
Ag 0.000 0.000 0.748
Ag 0.000 0.000 0.252
Th 0.500 0.500 0.000
Ce 0.500 0.500 0.500


Entry 6:
First-principles (PBE-GGA) data for crystalline CeTh4Ag at its relaxed geometry, as listed in the Alexandria database.

DFT formation energy ... -0.01 eV/atom
E_tot ... -0.2360 Ha/atom
DOS(E_F) ... 7.39 states/eV per cell

a b c (Å): 3.551 3.551 14.078
angles (deg): 90.00 90.00 90.00
Positions (direct):
Ag 0.500 0.500 0.500
Th 0.000 0.000 0.351
Th 0.000 0.000 0.649
Th 0.500 0.500 0.170
Th 0.500 0.500 0.830
Ce 0.000 0.000 0.000


Entry 7:
First-principles (PBE-GGA) data for crystalline CeThAg4 at its relaxed geometry, as listed in the Alexandria database.

DFT formation energy ... -0.02 eV/atom
E_tot ... -0.1524 Ha/atom
DOS(E_F) ... 9.90 states/eV per cell

a b c (Å): 5.751 5.751 5.751
angles (deg): 60.00 60.00 60.00
Positions (direct):
Ag 0.625 0.125 0.625
Ag 0.125 0.625 0.625
Ag 0.625 0.625 0.125
Ag 0.625 0.625 0.625
Ce 0.250 0.250 0.250
Th 0.000 0.000 0.000


Entry 8:
First-principles (PBE-GGA) data for crystalline CeThAg4 at its relaxed geometry, as listed in the Alexandria database.

DFT formation energy ... -0.15 eV/atom
E_tot ... -0.1572 Ha/atom
DOS(E_F) ... 17.74 states/eV per cell

a b c (Å): 4.908 6.601 9.120
angles (deg): 68.74 90.00 90.00
Positions (direct):
Ag 0.750 0.208 0.583
Ag 0.750 0.709 0.583
Ag 0.750 0.042 0.917
Ag 0.250 0.958 0.083
Ag 0.250 0.459 0.083
Ag 0.250 0.291 0.417
Ag 0.250 0.792 0.417
Ag 0.750 0.541 0.917
Ce 0.250 0.874 0.751
Ce 0.750 0.126 0.249
Th 0.750 0.625 0.251
Th 0.250 0.375 0.749


Entry 9:
First-principles (PBE-GGA) data for crystalline CeTh2Ag at its relaxed geometry, as listed in the Alexandria database.

DFT formation energy ... 0.13 eV/atom
E_tot ... -0.2123 Ha/atom
DOS(E_F) ... 8.43 states/eV per cell

a b c (Å): 5.344 5.344 5.344
angles (deg): 60.00 60.00 60.00
Positions (direct):
Ce 0.000 0.000 0.000
Ag 0.500 0.500 0.500
Th 0.250 0.250 0.250
Th 0.750 0.750 0.750


Entry 10:
First-principles (PBE-GGA) data for crystalline CeTh2Ag at its relaxed geometry, as listed in the Alexandria database.

DFT formation energy ... 0.01 eV/atom
E_tot ... -0.2168 Ha/atom
DOS(E_F) ... 8.07 states/eV per cell

a b c (Å): 3.457 5.622 5.622
angles (deg): 90.00 90.00 90.00
Positions (direct):
Th 0.000 0.500 0.000
Th 0.000 0.000 0.500
Ag 0.500 0.000 0.000
Ce 0.500 0.500 0.500


Entry 11:
First-principles (PBE-GGA) data for crystalline Ce3ThAg2 at its relaxed geometry, as listed in the Alexandria database.

DFT formation energy ... -0.04 eV/atom
E_tot ... -0.1909 Ha/atom
DOS(E_F) ... 15.10 states/eV per cell

a b c (Å): 3.523 3.523 12.899
angles (deg): 90.00 90.00 90.00
Positions (direct):
Ce 0.000 0.000 0.000
Ce 0.000 0.000 0.681
Ce 0.000 0.000 0.319
Th 0.500 0.500 0.500
Ag 0.500 0.500 0.162
Ag 0.500 0.500 0.838


Entry 12:
First-principles (PBE-GGA) data for crystalline Ce2ThTl2Ag2 at its relaxed geometry, as listed in the Alexandria database.

DFT formation energy ... -0.08 eV/atom
E_tot ... -0.1589 Ha/atom
DOS(E_F) ... 11.40 states/eV per cell

a b c (Å): 4.833 4.833 9.306
angles (deg): 74.95 74.95 60.00
Positions (direct):
Th 0.000 0.000 0.000
Tl 0.731 0.731 0.807
Tl 0.269 0.269 0.193
Ag 0.571 0.571 0.286
Ag 0.429 0.429 0.714
Ce 0.857 0.857 0.429
Ce 0.143 0.143 0.571


Entry 13:
First-principles (PBE-GGA) data for crystalline CeThTlAg at its relaxed geometry, as listed in the Alexandria database.

DFT formation energy ... 0.21 eV/atom
E_tot ... -0.1628 Ha/atom
DOS(E_F) ... 7.52 states/eV per cell

a b c (Å): 3.290 6.270 5.684
angles (deg): 90.00 90.00 105.21
Positions (direct):
Ag 0.067 0.135 0.500
Ce 0.937 0.874 0.000
Tl 0.802 0.604 0.500
Th 0.206 0.412 0.000


Entry 14:
First-principles (PBE-GGA) data for crystalline CeThTlAg at its relaxed geometry, as listed in the Alexandria database.

DFT formation energy ... -0.07 eV/atom
E_tot ... -0.1732 Ha/atom
DOS(E_F) ... 9.28 states/eV per cell

a b c (Å): 5.416 5.416 5.416
angles (deg): 60.00 60.00 60.00
Positions (direct):
Th 0.000 0.000 0.000
Ag 0.750 0.750 0.750
Ce 0.500 0.500 0.500
Tl 0.250 0.250 0.250


Entry 15:
First-principles (PBE-GGA) data for crystalline CeTmThAg at its relaxed geometry, as listed in the Alexandria database.

DFT formation energy ... 0.12 eV/atom
E_tot ... -0.1854 Ha/atom
DOS(E_F) ... 7.89 states/eV per cell

a b c (Å): 5.254 5.254 5.254
angles (deg): 60.00 60.00 60.00
Positions (direct):
Tm 0.500 0.500 0.500
Th 0.000 0.000 0.000
Ag 0.250 0.250 0.250
Ce 0.750 0.750 0.750


Entry 16:
First-principles (PBE-GGA) data for crystalline Ce2Th2Zn4Ag at its relaxed geometry, as listed in the Alexandria database.

DFT formation energy ... 0.03 eV/atom
E_tot ... -0.1403 Ha/atom
DOS(E_F) ... 11.52 states/eV per cell

a b c (Å): 6.777 6.777 6.777
angles (deg): 85.25 122.78 122.78
Positions (direct):
Zn 0.000 0.279 0.721
Zn 0.000 0.721 0.279
Zn 0.442 0.721 0.721
Zn 0.558 0.279 0.279
Th 0.500 0.250 0.750
Th 0.500 0.750 0.250
Ce 0.000 0.282 0.282
Ce 0.000 0.718 0.718
Ag 0.000 0.000 0.000


Entry 17:
First-principles (PBE-GGA) data for crystalline Ce2ThZn2Ag2 at its relaxed geometry, as listed in the Alexandria database.

DFT formation energy ... -0.15 eV/atom
E_tot ... -0.1499 Ha/atom
DOS(E_F) ... 9.83 states/eV per cell

a b c (Å): 4.567 4.567 9.174
angles (deg): 75.59 75.59 60.00
Positions (direct):
Ag 0.407 0.407 0.780
Ag 0.593 0.593 0.220
Th 0.000 0.000 0.000
Zn 0.261 0.261 0.217
Zn 0.739 0.739 0.783
Ce 0.139 0.139 0.583
Ce 0.861 0.861 0.417


Entry 18:
First-principles (PBE-GGA) data for crystalline CeThZn2Ag2 at its relaxed geometry, as listed in the Alexandria database.

DFT formation energy ... -0.22 eV/atom
E_tot ... -0.1405 Ha/atom
DOS(E_F) ... 7.47 states/eV per cell

a b c (Å): 4.778 4.778 6.659
angles (deg): 90.00 90.00 120.00
Positions (direct):
Zn 0.667 0.333 0.744
Zn 0.333 0.667 0.256
Ag 0.667 0.333 0.252
Ag 0.333 0.667 0.748
Ce 0.000 0.000 0.500
Th 0.000 0.000 0.000


Entry 19:
First-principles (PBE-GGA) data for crystalline CeTiAg at its relaxed geometry, as listed in the Alexandria database.

DFT formation energy ... 0.07 eV/atom
E_tot ... -0.2018 Ha/atom
DOS(E_F) ... 10.72 states/eV per cell

a b c (Å): 3.043 4.884 9.883
angles (deg): 119.61 81.12 90.00
Positions (direct):
Ag 0.954 0.344 0.094
Ag 0.046 0.656 0.906
Ce 0.626 0.997 0.747
Ce 0.374 0.003 0.253
Ti 0.775 0.701 0.451
Ti 0.225 0.299 0.549


Entry 20:
First-principles (PBE-GGA) data for crystalline Ce2TiAg at its relaxed geometry, as listed in the Alexandria database.

DFT formation energy ... 0.07 eV/atom
E_tot ... -0.2054 Ha/atom
DOS(E_F) ... 8.49 states/eV per cell

a b c (Å): 3.064 3.064 9.624
angles (deg): 90.00 90.00 90.00
Positions (direct):
Ce 0.000 0.000 0.244
Ce 0.000 0.000 0.756
Ti 0.500 0.500 0.000
Ag 0.500 0.500 0.500


Entry 21:
First-principles (PBE-GGA) data for crystalline Ce2TiAg at its relaxed geometry, as listed in the Alexandria database.

DFT formation energy ... 0.19 eV/atom
E_tot ... -0.2008 Ha/atom
DOS(E_F) ... 8.08 states/eV per cell

a b c (Å): 2.988 2.988 11.264
angles (deg): 82.38 82.38 60.00
Positions (direct):
Ti 0.000 0.000 0.000
Ce 0.918 0.918 0.245
Ce 0.082 0.082 0.755
Ag 0.500 0.500 0.500


Entry 22:
First-principles (PBE-GGA) data for crystalline Ce2TiAg at its relaxed geometry, as listed in the Alexandria database.

DFT formation energy ... 0.13 eV/atom
E_tot ... -0.2029 Ha/atom
DOS(E_F) ... 11.33 states/eV per cell

a b c (Å): 3.242 5.444 5.444
angles (deg): 90.00 90.00 90.00
Positions (direct):
Ag 0.500 0.000 0.000
Ce 0.000 0.500 0.000
Ce 0.000 0.000 0.500
Ti 0.500 0.500 0.500


Entry 23:
First-principles (PBE-GGA) data for crystalline Ce3Tl2Ag4 at its relaxed geometry, as listed in the Alexandria database.

DFT formation energy ... -0.20 eV/atom
E_tot ... -0.1459 Ha/atom
DOS(E_F) ... 16.40 states/eV per cell

a b c (Å): 5.018 6.008 9.336
angles (deg): 119.30 90.00 114.68
Positions (direct):
Tl 0.614 0.227 0.279
Tl 0.386 0.773 0.721
Ag 0.055 0.109 0.393
Ag 0.726 0.451 0.054
Ag 0.274 0.549 0.946
Ag 0.945 0.891 0.607
Ce 0.665 0.331 0.671
Ce 0.000 0.000 0.000
Ce 0.335 0.669 0.329


Entry 24:
First-principles (PBE-GGA) data for crystalline Ce2TlAg3 at its relaxed geometry, as listed in the Alexandria database.

DFT formation energy ... -0.19 eV/atom
E_tot ... -0.1466 Ha/atom
DOS(E_F) ... 11.81 states/eV per cell

a b c (Å): 3.295 4.969 8.699
angles (deg): 90.00 90.00 90.00
Positions (direct):
Ag 0.500 0.500 0.671
Ag 0.500 0.000 0.161
Ag 0.500 0.000 0.834
Ce 0.000 0.500 0.991
Ce 0.000 0.000 0.511
Tl 0.500 0.500 0.332


Entry 25:
First-principles (PBE-GGA) data for crystalline Ce3Tl3Ag2 at its relaxed geometry, as listed in the Alexandria database.

DFT formation energy ... -0.18 eV/atom
E_tot ... -0.1470 Ha/atom
DOS(E_F) ... 18.46 states/eV per cell

a b c (Å): 4.815 4.941 9.364
angles (deg): 105.39 104.90 90.00
Positions (direct):
Tl 0.642 0.142 0.285
Tl 0.358 0.858 0.715
Tl 0.500 0.500 0.000
Ag 0.246 0.247 0.492
Ag 0.754 0.753 0.508
Ce 0.864 0.364 0.728
Ce 0.000 0.000 0.000
Ce 0.136 0.636 0.272


Entry 26:
First-principles (PBE-GGA) data for crystalline Ce6Tl2Ag at its relaxed geometry, as listed in the Alexandria database.

DFT formation energy ... -0.06 eV/atom
E_tot ... -0.1787 Ha/atom
DOS(E_F) ... 24.55 states/eV per cell

a b c (Å): 3.069 9.144 9.144
angles (deg): 120.00 90.00 90.00
Positions (direct):
Tl 0.000 0.667 0.333
Tl 0.000 0.333 0.667
Ce 0.500 0.682 0.682
Ce 0.500 0.318 0.000
Ce 0.500 0.000 0.318
Ce 0.500 0.318 0.318
Ce 0.500 0.682 0.000
Ce 0.500 0.000 0.682
Ag 0.000 0.000 0.000


Entry 27:
First-principles (PBE-GGA) data for crystalline Ce5Tl4Ag at its relaxed geometry, as listed in the Alexandria database.

DFT formation energy ... -0.20 eV/atom
E_tot ... -0.1617 Ha/atom
DOS(E_F) ... 31.12 states/eV per cell

a b c (Å): 3.459 3.459 23.152
angles (deg): 90.00 90.00 90.00
Positions (direct):
Tl 0.000 0.000 0.602
Tl 0.000 0.000 0.194
Tl 0.000 0.000 0.806
Tl 0.000 0.000 0.398
Ce 0.500 0.500 0.908
Ce 0.500 0.500 0.296
Ce 0.500 0.500 0.092
Ce 0.500 0.500 0.500
Ce 0.500 0.500 0.704
Ag 0.000 0.000 0.000


| no. | total magnetic moment (Bohr magnetons per cell) |
| --- | --- |
| 1 | 0.00 |
| 2 | 0.53 |
| 3 | 1.68 |
| 4 | 0.78 |
| 5 | 1.27 |
| 6 | 0.00 |
| 7 | 1.00 |
| 8 | 2.05 |
| 9 | 0.36 |
| 10 | 0.00 |
| 11 | 0.57 |
| 12 | 1.64 |
| 13 | 1.07 |
| 14 | 1.96 |
| 15 | 0.01 |
| 16 | 0.01 |
| 17 | 0.46 |
| 18 | 1.13 |
| 19 | 0.66 |
| 20 | 0.00 |
| 21 | 0.39 |
| 22 | 1.94 |
| 23 | 3.49 |
| 24 | 2.10 |
| 25 | 3.48 |
| 26 | 3.61 |
| 27 | 6.82 |